Material: NiOs2S6
Method: DFT, PBE
State: optimized geometry

Unit cell a=6.365 b=6.365 c=9.728 alpha=121.81 beta=121.81 gamma=31.13
Element x y z (fractional)
Os1 0.331 0.331 0.718
Os2 0.669 0.669 0.282
S1 0.672 0.672 0.543
S2 0.215 0.215 0.142
S3 0.981 0.981 0.763
S4 0.785 0.785 0.858
S5 0.019 0.019 0.237
S6 0.328 0.328 0.457
Ni1 0.000 0.000 0.000

The value obtained for the total DFT energy (no corrections) is -5.9108 eV per atom. The space group is C2/m.